A relaxed structure of Ba3TiFe2O8, computed with GGA+U.

Properties
- DOS(E_F): 0.0 states/eV per cell
- Total magnetization: 9.98 μB/f.u.
- Crystal system: trigonal
- Electronic total energy: -6.98 eV per atom
- Energy above the lowest structure with this stoichiometry: 0.000 eV per formula unit

a = 5.8111 Å, b = 5.8111 Å, c = 7.4981 Å
α = 90.00°, β = 90.00°, γ = 120.00°
Space group P-3m1 (No. 164)
One atom of each set of equivalent atoms:
Ba (0.0000, 0.0000, 0.0000) (multiplicity 1)
Ba (0.3333, 0.6667, 0.6583) (multiplicity 2)
Ti (0.0000, 0.0000, 0.5000) (multiplicity 1)
Fe (0.3333, 0.6667, 0.2298) (multiplicity 2)
O (0.1596, 0.3192, 0.3407) (multiplicity 6)
O (0.3333, 0.6667, 0.9898) (multiplicity 2)